1.
Below is a relaxed YTl2CuBr6 crystal, with properties calculated at the PBE level.

Summary:
Density in Mg/m³: 5.0
Crystal system: monoclinic
Space group: C2/m (12)
Total magnetization in μB/atom: 0.00
Total DFT energy (no corrections) in eV per cell: -36.3
Formation energy without anion corrections in eV/atom: -1.0932

Cell lengths 8.174, 8.174, 6.860 Å; angles 108.93, 108.93, 54.54 degrees
Element x y z (fractional)
Y: 0.000 0.000 0.000
Tl: 0.260 0.260 0.808
Tl: 0.740 0.740 0.192
Cu: 0.500 0.500 0.500
Br: 0.194 0.194 0.290
Br: 0.196 0.671 0.216
Br: 0.329 0.804 0.784
Br: 0.671 0.196 0.216
Br: 0.804 0.329 0.784
Br: 0.806 0.806 0.710



2.
Below is a relaxed TlZn2CuBr6 crystal, with properties calculated at the PBE level.

Summary:
Density in Mg/m³: 4.1
Crystal system: monoclinic
Space group: C2/c (15)
Total magnetization in μB/atom: 0.02
Total DFT energy (no corrections) in eV per cell: -52.7
Formation energy without anion corrections in eV/atom: -0.7291

Cell lengths 10.356, 10.356, 7.040 Å; angles 101.92, 101.92, 93.38 degrees
Element x y z (fractional)
Tl: 0.108 0.892 0.750
Tl: 0.892 0.108 0.250
Zn: 0.239 0.370 0.804
Zn: 0.370 0.239 0.304
Zn: 0.630 0.761 0.696
Zn: 0.761 0.630 0.196
Cu: 0.309 0.691 0.250
Cu: 0.691 0.309 0.750
Br: 0.054 0.202 0.720
Br: 0.168 0.584 0.962
Br: 0.202 0.054 0.220
Br: 0.305 0.433 0.512
Br: 0.416 0.832 0.538
Br: 0.433 0.305 0.012
Br: 0.567 0.695 0.988
Br: 0.584 0.168 0.462
Br: 0.695 0.567 0.488
Br: 0.798 0.946 0.780
Br: 0.832 0.416 0.038
Br: 0.946 0.798 0.280



3.
Below is a relaxed TmCu2Br6 crystal, with properties calculated at the PBE level.

Summary:
Density in Mg/m³: 4.1
Crystal system: monoclinic
Space group: C2/c (15)
Total magnetization in μB/atom: 0.06
Total DFT energy (no corrections) in eV per cell: -62.9
Formation energy without anion corrections in eV/atom: -0.9742

Cell lengths 9.939, 9.939, 7.002 Å; angles 107.29, 107.29, 80.29 degrees
Element x y z (fractional)
Tm: 0.085 0.915 0.750
Tm: 0.915 0.085 0.250
Cu: 0.342 0.524 0.841
Cu: 0.476 0.658 0.659
Cu: 0.524 0.342 0.341
Cu: 0.658 0.476 0.159
Br: 0.050 0.180 0.667
Br: 0.116 0.654 0.835
Br: 0.180 0.050 0.167
Br: 0.321 0.458 0.461
Br: 0.346 0.884 0.665
Br: 0.458 0.321 0.961
Br: 0.542 0.679 0.039
Br: 0.654 0.116 0.335
Br: 0.679 0.542 0.539
Br: 0.820 0.950 0.833
Br: 0.884 0.346 0.165
Br: 0.950 0.820 0.333



4.
Below is a relaxed TmCu2Br6 crystal, with properties calculated at the PBE level.

Summary:
Density in Mg/m³: 4.2
Crystal system: monoclinic
Space group: C2/c (15)
Total magnetization in μB/atom: 0.00
Total DFT energy (no corrections) in eV per cell: -62.7
Formation energy without anion corrections in eV/atom: -0.9622

Cell lengths 9.534, 9.534, 6.868 Å; angles 95.63, 95.63, 78.59 degrees
Element x y z (fractional)
Tm: 0.094 0.906 0.750
Tm: 0.906 0.094 0.250
Cu: 0.307 0.457 0.725
Cu: 0.457 0.307 0.225
Cu: 0.543 0.693 0.775
Cu: 0.693 0.543 0.275
Br: 0.037 0.179 0.607
Br: 0.129 0.631 0.871
Br: 0.179 0.037 0.107
Br: 0.282 0.469 0.382
Br: 0.369 0.871 0.629
Br: 0.469 0.282 0.882
Br: 0.531 0.718 0.118
Br: 0.631 0.129 0.371
Br: 0.718 0.531 0.618
Br: 0.821 0.963 0.893
Br: 0.871 0.369 0.129
Br: 0.963 0.821 0.393



5.
Below is a relaxed UCu2Br6 crystal, with properties calculated at the PBE level.

Summary:
Density in Mg/m³: 4.5
Crystal system: monoclinic
Space group: C2/c (15)
Total magnetization in μB/atom: 0.22
Total DFT energy (no corrections) in eV per cell: -73.3
Formation energy without anion corrections in eV/atom: -0.7897

Cell lengths 9.386, 9.386, 7.197 Å; angles 95.70, 95.70, 79.19 degrees
Element x y z (fractional)
U: 0.104 0.896 0.750
U: 0.896 0.104 0.250
Cu: 0.341 0.467 0.719
Cu: 0.467 0.341 0.219
Cu: 0.533 0.659 0.781
Cu: 0.659 0.533 0.281
Br: 0.041 0.180 0.604
Br: 0.131 0.622 0.867
Br: 0.180 0.041 0.104
Br: 0.286 0.480 0.394
Br: 0.378 0.869 0.633
Br: 0.480 0.286 0.894
Br: 0.520 0.714 0.106
Br: 0.622 0.131 0.367
Br: 0.714 0.520 0.606
Br: 0.820 0.959 0.896
Br: 0.869 0.378 0.133
Br: 0.959 0.820 0.396



6.
Below is a relaxed UCuBr6 crystal, with properties calculated at the PBE level.

Summary:
Density in Mg/m³: 5.0
Crystal system: triclinic
Space group: P-1 (2)
Total magnetization in μB/atom: 0.12
Total DFT energy (no corrections) in eV per cell: -33.0
Formation energy without anion corrections in eV/atom: -0.9440

Cell lengths 6.926, 6.928, 7.362 Å; angles 61.95, 62.01, 60.02 degrees
Element x y z (fractional)
U: 0.000 0.000 0.000
Cu: 0.500 0.500 0.500
Br: 0.119 0.749 0.746
Br: 0.252 0.614 0.254
Br: 0.386 0.119 0.746
Br: 0.614 0.881 0.254
Br: 0.748 0.386 0.746
Br: 0.881 0.251 0.254



7.
Below is a relaxed UCu2Br8 crystal, with properties calculated at the PBE level.

Summary:
Density in Mg/m³: 3.8
Crystal system: monoclinic
Space group: C2/c (15)
Total magnetization in μB/atom: 0.12
Total DFT energy (no corrections) in eV per cell: -82.3
Formation energy without anion corrections in eV/atom: -0.7543

Cell lengths 11.102, 11.102, 14.413 Å; angles 129.01, 129.01, 42.03 degrees
Element x y z (fractional)
U: 0.232 0.768 0.750
U: 0.768 0.232 0.250
Cu: 0.118 0.149 0.997
Cu: 0.149 0.118 0.497
Cu: 0.851 0.882 0.503
Cu: 0.882 0.851 0.003
Br: 0.015 0.584 0.854
Br: 0.104 0.132 0.819
Br: 0.132 0.104 0.319
Br: 0.162 0.719 0.513
Br: 0.281 0.838 0.987
Br: 0.349 0.422 0.685
Br: 0.416 0.985 0.646
Br: 0.422 0.349 0.185
Br: 0.578 0.651 0.815
Br: 0.584 0.015 0.354
Br: 0.651 0.578 0.315
Br: 0.719 0.162 0.013
Br: 0.838 0.281 0.487
Br: 0.868 0.896 0.681
Br: 0.896 0.868 0.181
Br: 0.985 0.416 0.146



8.
Below is a relaxed UCuBr6 crystal, with properties calculated at the PBE level.

Summary:
Density in Mg/m³: 4.2
Crystal system: monoclinic
Space group: C2/m (12)
Total magnetization in μB/atom: 0.12
Total DFT energy (no corrections) in eV per cell: -66.3
Formation energy without anion corrections in eV/atom: -0.9672

Cell lengths 7.764, 12.377, 7.363 Å; angles 90.00, 119.68, 90.00 degrees
Element x y z (fractional)
U: 0.000 0.000 0.000
U: 0.500 0.500 0.000
Cu: 0.000 0.000 0.500
Cu: 0.500 0.500 0.500
Br: 0.010 0.154 0.272
Br: 0.010 0.846 0.272
Br: 0.106 0.500 0.807
Br: 0.394 0.000 0.193
Br: 0.490 0.346 0.728
Br: 0.490 0.654 0.728
Br: 0.510 0.346 0.272
Br: 0.510 0.654 0.272
Br: 0.606 0.000 0.807
Br: 0.894 0.500 0.193
Br: 0.990 0.154 0.728
Br: 0.990 0.846 0.728



9.
Below is a relaxed UCuBr5 crystal, with properties calculated at the PBE level.

Summary:
Density in Mg/m³: 4.5
Crystal system: monoclinic
Space group: C2/c (15)
Total magnetization in μB/atom: 0.29
Total DFT energy (no corrections) in eV per cell: -61.2
Formation energy without anion corrections in eV/atom: -0.9818

Cell lengths 7.467, 7.467, 10.576 Å; angles 110.26, 110.26, 86.24 degrees
Element x y z (fractional)
U: 0.000 0.500 0.000
U: 0.500 0.000 0.500
Cu: 0.133 0.867 0.750
Cu: 0.867 0.133 0.250
Br: 0.157 0.176 0.458
Br: 0.170 0.592 0.834
Br: 0.176 0.157 0.958
Br: 0.332 0.668 0.250
Br: 0.408 0.830 0.666
Br: 0.592 0.170 0.334
Br: 0.668 0.332 0.750
Br: 0.824 0.843 0.042
Br: 0.830 0.408 0.166
Br: 0.843 0.824 0.542



10.
Below is a relaxed UCu2Br8 crystal, with properties calculated at the PBE level.

Summary:
Density in Mg/m³: 4.0
Crystal system: monoclinic
Space group: C2/m (12)
Total magnetization in μB/atom: 0.01
Total DFT energy (no corrections) in eV per cell: -41.2
Formation energy without anion corrections in eV/atom: -0.7593

Cell lengths 7.942, 7.942, 7.325 Å; angles 90.60, 90.60, 63.41 degrees
Element x y z (fractional)
U: 0.000 0.000 0.000
Cu: 0.206 0.206 0.244
Cu: 0.794 0.794 0.756
Br: 0.116 0.116 0.712
Br: 0.116 0.653 0.842
Br: 0.347 0.884 0.158
Br: 0.358 0.358 0.374
Br: 0.642 0.642 0.626
Br: 0.653 0.116 0.842
Br: 0.884 0.347 0.158
Br: 0.884 0.884 0.288



Among the records above, which one has the lowest total DFT energy (no corrections)? number 7



Which formula does entry 6 have? UCuBr6



Which of these has the highest formation energy without anion corrections? TlZn2CuBr6



Among the records above, which one has the highest total DFT energy (no corrections)? number 6